No. 1
DFT (meta-GGA SCAN) results for a crystal of NaCr3O8 relaxed with PBEsol.

For the density, the calculation gives 3344 kg/m3. The volume comes out at 305 Å³/cell. Its polymorph energy (0 for the lowest one) is 29.0 kJ/mol of formula units.

The space group is Pnnm (No. 58) and the conventional cell measures 6.423, 8.693 and 5.460 Å, with angles of 90.00, 90.00 and 90.00 degrees. The inequivalent atoms are Na at (0.000, 0.000, 0.000), Cr at (0.000, 0.500, 0.500), Cr at (0.200, 0.339, 0.000), O at (0.018, 0.744, 0.000), O at (0.106, 0.711, 0.500) and O at (0.207, 0.451, 0.253).

=====

No. 2
DFT (meta-GGA SCAN) results for a crystal of NaCr3O relaxed with PBEsol.

For the density, the calculation gives 2748 kg/m3. The volume comes out at 118 Å³/cell. Its final energy is -11.22 eV per atom.

The space group is Pm-3m (No. 221) and the conventional cell measures 4.902, 4.902 and 4.902 Å, with angles of 90.00, 90.00 and 90.00 degrees. The inequivalent atoms are Na at (0.000, 0.000, 0.000), Cr at (0.000, 0.000, 0.500) and O at (0.500, 0.500, 0.500).